[1]
# GaPbAu3 PBE relaxed
# Total magnetization   0.0 μB per cell
# Energy relative to the elements   -0.072 eV per atom
data_GaPbAu3
_space_group_name_H-M_alt 'P 63/m m c'
_space_group_IT_number 194
_space_group_name_Hall '-P 6c 2c'
_cell_length_a 6.6062
_cell_length_b 6.6062
_cell_length_c 5.7552
_cell_angle_alpha 90.00
_cell_angle_beta 90.00
_cell_angle_gamma 120.00
loop_
_atom_site_label
_atom_site_type_symbol
_atom_site_fract_x
_atom_site_fract_y
_atom_site_fract_z
_atom_site_occupancy
Ga1 Ga 0.0000 0.0000 0.0000 1
Pb1 Pb 0.3333 0.6667 0.2500 1
Au1 Au 0.1915 0.3830 0.7500 1

[2]
# GaPb5Au4 PBE relaxed
# Total magnetization   0.0 μB per cell
# Energy relative to the elements   -0.066 eV per atom
data_GaPb5Au4
_space_group_name_H-M_alt 'C 1 2/m 1'
_space_group_IT_number 12
_cell_length_a 16.7743
_cell_length_b 4.2942
_cell_length_c 7.5633
_cell_angle_alpha 90.00
_cell_angle_beta 106.28
_cell_angle_gamma 90.00
loop_
_space_group_symop_operation_xyz
'x,y,z'
'-x,-y,-z'
'-x,y,-z'
'x,-y,z'
'x+1/2,y+1/2,z'
'-x+1/2,-y+1/2,-z'
'-x+1/2,y+1/2,-z'
'x+1/2,-y+1/2,z'
loop_
_atom_site_label
_atom_site_type_symbol
_atom_site_fract_x
_atom_site_fract_y
_atom_site_fract_z
_atom_site_occupancy
Ga1 Ga 0.0000 0.0000 0.0000 1
Pb1 Pb 0.0000 0.0000 0.5000 1
Pb2 Pb 0.1724 0.5000 0.0470 1
Pb3 Pb 0.1765 0.5000 0.5795 1
Au1 Au 0.0035 0.5000 0.7861 1
Au2 Au 0.1362 0.0000 0.2883 1

[3]
# Ga2Pb2Au5 PBE relaxed
# Total magnetization   0.0 μB per cell
# Energy relative to the elements   -0.057 eV per atom
data_Ga2Pb2Au5
_space_group_name_H-M_alt 'C m c e'
_space_group_IT_number 64
_space_group_name_Hall '-C 2ac 2'
_cell_length_a 15.5684
_cell_length_b 7.0107
_cell_length_c 7.1657
_cell_angle_alpha 90.00
_cell_angle_beta 90.00
_cell_angle_gamma 90.00
loop_
_atom_site_label
_atom_site_type_symbol
_atom_site_fract_x
_atom_site_fract_y
_atom_site_fract_z
_atom_site_occupancy
Ga1 Ga 0.0000 0.1504 0.1562 1
Pb1 Pb 0.2080 0.0000 0.5000 1
Au1 Au 0.0000 0.0000 0.5000 1
Au2 Au 0.1154 0.1493 0.8591 1

[4]
# GaPb2Au2 PBE relaxed
# Total magnetization   0.0 μB per cell
# Energy relative to the elements   0.061 eV per atom
data_GaPb2Au2
_space_group_name_H-M_alt 'I 4/m m m'
_space_group_IT_number 139
_space_group_name_Hall '-I 4 2'
_cell_length_a 3.8415
_cell_length_b 3.8415
_cell_length_c 17.2780
_cell_angle_alpha 90.00
_cell_angle_beta 90.00
_cell_angle_gamma 90.00
loop_
_atom_site_label
_atom_site_type_symbol
_atom_site_fract_x
_atom_site_fract_y
_atom_site_fract_z
_atom_site_occupancy
Ga1 Ga 0.0000 0.0000 0.0000 1
Pb1 Pb 0.0000 0.0000 0.3934 1
Au1 Au 0.0000 0.5000 0.2500 1

[5]
# GaPb2Au2 PBE relaxed
# Total magnetization   0.0 μB per cell
# Energy relative to the elements   0.093 eV per atom
data_GaPb2Au2
_space_group_name_H-M_alt 'P 4/m b m'
_space_group_IT_number 127
_space_group_name_Hall '-P 4 2ab'
_cell_length_a 8.2213
_cell_length_b 8.2213
_cell_length_c 3.7500
_cell_angle_alpha 90.00
_cell_angle_beta 90.00
_cell_angle_gamma 90.00
loop_
_atom_site_label
_atom_site_type_symbol
_atom_site_fract_x
_atom_site_fract_y
_atom_site_fract_z
_atom_site_occupancy
Ga1 Ga 0.0000 0.0000 0.0000 1
Pb1 Pb 0.1691 0.3309 0.0000 1
Au1 Au 0.1300 0.6300 0.5000 1

[6]
# Ga2Pb3Au4 PBE relaxed
# Total magnetization   0.0 μB per cell
# Energy relative to the elements   -0.122 eV per atom
data_Ga2Pb3Au4
_space_group_name_H-M_alt 'C 1 2/m 1'
_space_group_IT_number 12
_cell_length_a 12.9160
_cell_length_b 4.0515
_cell_length_c 8.8380
_cell_angle_alpha 90.00
_cell_angle_beta 114.15
_cell_angle_gamma 90.00
loop_
_space_group_symop_operation_xyz
'x,y,z'
'-x,-y,-z'
'-x,y,-z'
'x,-y,z'
'x+1/2,y+1/2,z'
'-x+1/2,-y+1/2,-z'
'-x+1/2,y+1/2,-z'
'x+1/2,-y+1/2,z'
loop_
_atom_site_label
_atom_site_type_symbol
_atom_site_fract_x
_atom_site_fract_y
_atom_site_fract_z
_atom_site_occupancy
Ga1 Ga 0.1879 0.0000 0.3553 1
Pb1 Pb 0.0000 0.5000 0.0000 1
Pb2 Pb 0.1046 0.0000 0.7106 1
Au1 Au 0.0898 0.5000 0.4261 1
Au2 Au 0.2014 0.0000 0.0757 1

[7]
# Ga2PbAu9 PBE relaxed
# Total magnetization   0.0 μB per cell
# Energy relative to the elements   -0.060 eV per atom
data_Ga2PbAu9
_space_group_name_H-M_alt 'P 6/m m m'
_space_group_IT_number 191
_space_group_name_Hall '-P 6 2'
_cell_length_a 9.0172
_cell_length_b 9.0172
_cell_length_c 3.2542
_cell_angle_alpha 90.00
_cell_angle_beta 90.00
_cell_angle_gamma 120.00
loop_
_atom_site_label
_atom_site_type_symbol
_atom_site_fract_x
_atom_site_fract_y
_atom_site_fract_z
_atom_site_occupancy
Ga1 Ga 0.3333 0.6667 0.0000 1
Pb1 Pb 0.0000 0.0000 0.0000 1
Au1 Au 0.0000 0.5000 0.0000 1
Au2 Au 0.1841 0.3681 0.5000 1

[8]
# GaPb2Au PBE relaxed
# Total magnetization   0.0 μB per cell
# Energy relative to the elements   0.091 eV per atom
data_GaPb2Au
_space_group_name_H-M_alt 'I -4 2 d'
_space_group_IT_number 122
_space_group_name_Hall 'I -4 2bw'
_cell_length_a 8.2175
_cell_length_b 8.2175
_cell_length_c 6.3138
_cell_angle_alpha 90.00
_cell_angle_beta 90.00
_cell_angle_gamma 90.00
loop_
_atom_site_label
_atom_site_type_symbol
_atom_site_fract_x
_atom_site_fract_y
_atom_site_fract_z
_atom_site_occupancy
Ga1 Ga 0.0000 0.0000 0.0000 1
Pb1 Pb 0.2326 0.2500 0.6250 1
Au1 Au 0.0000 0.0000 0.5000 1

[9]
# GaPb3Au4 PBE relaxed
# Total magnetization   0.0 μB per cell
# Energy relative to the elements   -0.068 eV per atom
data_GaPb3Au4
_space_group_name_H-M_alt 'P n m a'
_space_group_IT_number 62
_cell_length_a 11.9651
_cell_length_b 7.6462
_cell_length_c 8.7544
_cell_angle_alpha 90.00
_cell_angle_beta 90.00
_cell_angle_gamma 90.00
loop_
_space_group_symop_operation_xyz
'x,y,z'
'-x,-y,-z'
'-x+1/2,-y,z+1/2'
'x+1/2,y,-z+1/2'
'x+1/2,-y+1/2,-z+1/2'
'-x+1/2,y+1/2,z+1/2'
'-x,y+1/2,-z'
'x,-y+1/2,z'
loop_
_atom_site_label
_atom_site_type_symbol
_atom_site_fract_x
_atom_site_fract_y
_atom_site_fract_z
_atom_site_occupancy
Ga1 Ga 0.0909 0.2500 0.2200 1
Pb1 Pb 0.0745 0.7500 0.1962 1
Pb2 Pb 0.1609 0.5083 0.6451 1
Au1 Au 0.0021 0.2500 0.4863 1
Au2 Au 0.1148 0.0611 0.9760 1
Au3 Au 0.2382 0.7500 0.9066 1

[10]
# Ga2Pb3Au9 PBE relaxed
# Total magnetization   0.0 μB per cell
# Energy relative to the elements   -0.082 eV per atom
data_Ga2Pb3Au9
_space_group_name_H-M_alt 'P -1'
_space_group_IT_number 2
_cell_length_a 4.6274
_cell_length_b 8.2863
_cell_length_c 8.3640
_cell_angle_alpha 94.60
_cell_angle_beta 99.62
_cell_angle_gamma 105.44
loop_
_space_group_symop_operation_xyz
'x,y,z'
'-x,-y,-z'
loop_
_atom_site_label
_atom_site_type_symbol
_atom_site_fract_x
_atom_site_fract_y
_atom_site_fract_z
_atom_site_occupancy
Ga1 Ga 0.1648 0.2769 0.3030 1
Pb1 Pb 0.4635 0.6876 0.2903 1
Pb2 Pb 0.5000 0.0000 0.0000 1
Au1 Au 0.0000 0.5000 0.5000 1
Au2 Au 0.0407 0.9480 0.2644 1
Au3 Au 0.0689 0.3347 0.9726 1
Au4 Au 0.3339 0.8730 0.5846 1
Au5 Au 0.3548 0.6246 0.8242 1

[11]
# Ga3Pb2Au9 PBE relaxed
# Total magnetization   0.0 μB per cell
# Energy relative to the elements   -0.119 eV per atom
data_Ga3Pb2Au9
_space_group_name_H-M_alt 'C 1 2/c 1'
_space_group_IT_number 15
_cell_length_a 13.7605
_cell_length_b 7.8914
_cell_length_c 11.2993
_cell_angle_alpha 90.00
_cell_angle_beta 114.15
_cell_angle_gamma 90.00
loop_
_space_group_symop_operation_xyz
'x,y,z'
'-x,-y,-z'
'-x,y,-z+1/2'
'x,-y,z+1/2'
'x+1/2,y+1/2,z'
'-x+1/2,-y+1/2,-z'
'-x+1/2,y+1/2,-z+1/2'
'x+1/2,-y+1/2,z+1/2'
loop_
_atom_site_label
_atom_site_type_symbol
_atom_site_fract_x
_atom_site_fract_y
_atom_site_fract_z
_atom_site_occupancy
Ga1 Ga 0.0859 0.2399 0.4987 1
Ga2 Ga 0.2500 0.2500 0.0000 1
Pb1 Pb 0.1683 0.0828 0.2499 1
Au1 Au 0.0000 0.3605 0.2500 1
Au2 Au 0.0615 0.0900 0.9343 1
Au3 Au 0.1053 0.4177 0.0742 1
Au4 Au 0.1083 0.3076 0.7475 1
Au5 Au 0.2247 0.4203 0.4362 1

[12]
# GaPb3Au3 PBE relaxed
# Total magnetization   0.0 μB per cell
# Energy relative to the elements   -0.030 eV per atom
data_GaPb3Au3
_space_group_name_H-M_alt 'C 1 2/m 1'
_space_group_IT_number 12
_cell_length_a 8.4696
_cell_length_b 11.2199
_cell_length_c 7.6132
_cell_angle_alpha 90.00
_cell_angle_beta 96.06
_cell_angle_gamma 90.00
loop_
_space_group_symop_operation_xyz
'x,y,z'
'-x,-y,-z'
'-x,y,-z'
'x,-y,z'
'x+1/2,y+1/2,z'
'-x+1/2,-y+1/2,-z'
'-x+1/2,y+1/2,-z'
'x+1/2,-y+1/2,z'
loop_
_atom_site_label
_atom_site_type_symbol
_atom_site_fract_x
_atom_site_fract_y
_atom_site_fract_z
_atom_site_occupancy
Ga1 Ga 0.1624 0.0000 0.1300 1
Pb1 Pb 0.0000 0.1622 0.5000 1
Pb2 Pb 0.0000 0.2610 0.0000 1
Pb3 Pb 0.0430 0.5000 0.3048 1
Au1 Au 0.1335 0.0000 0.7908 1
Au2 Au 0.2237 0.3090 0.7204 1